(1)
Computed, not measured: SiOsPdCl2 after structural relaxation at the PBE level of DFT.

abc: 4.6112 4.8704 4.6112
angles: 90.00 90.00 90.00
Closest atoms and distances in Å follow each position.
Positions (direct):
Cl: 0.5000 0.0000 0.0000  2 Si 2.31
Cl: 0.0000 0.0000 0.5000  2 Si 2.31
Pd: 0.5000 0.5000 0.5000  4 Os 3.26, 8 Cl 3.35
Si: 0.0000 0.0000 0.0000  4 Cl 2.31, 2 Os 2.44
Os: 0.0000 0.5000 0.0000  2 Si 2.44

Results
**DFT total energy**: -4.052 eV per atom
**ΔE_f (raw)**: 1.055 eV per atom
**Magnetic moment**: 2.7 μB/cell
**Density of states at the Fermi level**: 5.905 states/eV per cell


(2)
Computed, not measured: NaPmTeAu after structural relaxation at the PBE level of DFT.

abc: 5.2761 5.2761 5.2761
angles: 60.00 60.00 60.00
Closest atoms and distances in Å follow each position.
Positions (direct):
Au: 0.5000 0.5000 0.5000  4 Na 3.23, 4 Pm 3.23
Te: 0.0000 0.0000 0.0000  4 Pm 3.23, 4 Na 3.23
Na: 0.2500 0.2500 0.2500  4 Te 3.23, 4 Au 3.23
Pm: 0.7500 0.7500 0.7500  4 Te 3.23, 4 Au 3.23

Results
**DFT total energy**: -3.873 eV per atom
**ΔE_f (raw)**: -0.751 eV per atom
**Magnetic moment**: 0.0 μB/cell
**Density of states at the Fermi level**: 2.961 states/eV per cell


(3)
Computed, not measured: Nb2TeCl2 after structural relaxation at the PBE level of DFT.

abc: 4.5727 4.5727 5.8386
angles: 66.95 66.95 90.00
Closest atoms and distances in Å follow each position.
Positions (direct):
Nb: 0.2500 0.7500 0.5000  4 Cl 2.50
Nb: 0.7500 0.2500 0.5000  4 Cl 2.50
Te: 0.0000 0.0000 0.0000  8 Nb 3.34, 10 Cl 3.45-3.53
Cl: 0.6454 0.6454 0.7093  4 Nb 2.50
Cl: 0.3546 0.3546 0.2907  4 Nb 2.50

Results
**DFT total energy**: -5.410 eV per atom
**ΔE_f (raw)**: -0.015 eV per atom
**Magnetic moment**: 0.0 μB/cell
**Density of states at the Fermi level**: 4.263 states/eV per cell


> What is the formula in the third record?

Nb2TeCl2


What did the second record say?
Computed, not measured: NaPmTeAu after structural relaxation at the PBE level of DFT.

abc: 5.2761 5.2761 5.2761
angles: 60.00 60.00 60.00
Closest atoms and distances in Å follow each position.
Positions (direct):
Au: 0.5000 0.5000 0.5000  4 Na 3.23, 4 Pm 3.23
Te: 0.0000 0.0000 0.0000  4 Pm 3.23, 4 Na 3.23
Na: 0.2500 0.2500 0.2500  4 Te 3.23, 4 Au 3.23
Pm: 0.7500 0.7500 0.7500  4 Te 3.23, 4 Au 3.23

Results
**DFT total energy**: -3.873 eV per atom
**ΔE_f (raw)**: -0.751 eV per atom
**Magnetic moment**: 0.0 μB/cell
**Density of states at the Fermi level**: 2.961 states/eV per cell


> Which formula does entry 2 have?

NaPmTeAu